The following is a PBE-GGA calculation of UFePH after structural relaxation, from Alexandria via LeMat-Bulk. Values from VASP.

Cell and atoms, written as Quantum ESPRESSO input:
```
&SYSTEM
  ibrav = 0, nat = 8, ntyp = 4
/
ATOMIC_SPECIES
U 238.03 U.upf
Fe 55.84 Fe.upf
P 30.97 P.upf
H 1.01 H.upf
CELL_PARAMETERS angstrom
3.856 0.000 0.000
0.000 3.856 0.000
0.000 0.000 6.582
ATOMIC_POSITIONS crystal
U 0.250 0.250 0.164
U 0.750 0.750 0.836
Fe 0.250 0.750 0.500
Fe 0.750 0.250 0.500
P 0.250 0.250 0.686
P 0.750 0.750 0.314
H 0.250 0.750 0.000
H 0.750 0.250 0.000
```

Output
Total DFT energy (no corrections), eV per formula unit: -31.22
Spin magnetization, μB per formula unit: 1.403